[1]
Density functional theory data (PBE-GGA) for a relaxed structure of Th5Si3.

Output
**Calculated total energy**: -7.208 eV/atom
**Density**: 9.92 g/cm3
**Uncorrected formation energy**: -0.54 eV/atom

Unit cell a=8.857 b=8.857 c=8.857 alpha=128.25 beta=128.25 gamma=76.22
Fractional positions:
Th (0.000, 0.000, 0.000)
Th (0.021, 0.521, 0.836)
Th (0.185, 0.021, 0.500)
Th (0.315, 0.815, 0.836)
Th (0.479, 0.315, 0.500)
Th (0.500, 0.500, 0.000)
Th (0.521, 0.685, 0.500)
Th (0.685, 0.185, 0.164)
Th (0.815, 0.979, 0.500)
Th (0.979, 0.479, 0.164)
Si (0.122, 0.378, 0.500)
Si (0.250, 0.250, 0.000)
Si (0.378, 0.878, 0.257)
Si (0.622, 0.122, 0.743)
Si (0.750, 0.750, 0.000)
Si (0.878, 0.622, 0.500)



[2]
Density functional theory data (PBE-GGA) for a relaxed structure of Th3Si.

Output
**Calculated total energy**: -7.106 eV/atom
**Density**: 10.25 g/cm3
**Uncorrected formation energy**: -0.19 eV/atom
**Polymorph energy (0 for the lowest one)**: 0.76 eV/f.u.

Unit cell a=6.087 b=6.087 c=6.087 alpha=143.22 beta=74.79 gamma=117.48
Fractional positions:
Th (0.000, 0.000, 0.000)
Th (0.371, 0.570, 0.801)
Th (0.769, 0.570, 0.199)
Si (0.348, 0.848, 0.500)



[3]
Density functional theory data (PBE-GGA) for a relaxed structure of Th3Si2.

Output
**Calculated total energy**: -7.169 eV/atom
**Density**: 9.67 g/cm3
**Uncorrected formation energy**: -0.55 eV/atom
**Polymorph energy (0 for the lowest one)**: 0.55 eV/f.u.

Unit cell a=5.972 b=5.972 c=5.972 alpha=136.09 beta=115.20 gamma=81.60
Fractional positions:
Th (0.000, 0.000, 0.000)
Th (0.294, 0.794, 0.500)
Th (0.706, 0.206, 0.500)
Si (0.309, 0.500, 0.809)
Si (0.691, 0.500, 0.191)



[4]
Density functional theory data (PBE-GGA) for a relaxed structure of Th5Si4.

Output
**Calculated total energy**: -7.143 eV/atom
**Density**: 9.36 g/cm3
**Uncorrected formation energy**: -0.61 eV/atom

Unit cell a=5.948 b=5.948 c=9.941 alpha=110.03 beta=110.03 gamma=43.70
Fractional positions:
Th (0.000, 0.000, 0.000)
Th (0.105, 0.105, 0.392)
Th (0.250, 0.250, 0.835)
Th (0.750, 0.750, 0.165)
Th (0.895, 0.895, 0.608)
Si (0.388, 0.388, 0.391)
Si (0.453, 0.453, 0.175)
Si (0.547, 0.547, 0.825)
Si (0.612, 0.612, 0.609)



[5]
Density functional theory data (PBE-GGA) for a relaxed structure of ThSi.

Output
**Calculated total energy**: -7.083 eV/atom
**Density**: 8.85 g/cm3
**Uncorrected formation energy**: -0.66 eV/atom

Unit cell a=11.377 b=11.377 c=11.377 alpha=158.64 beta=158.64 gamma=30.38
Fractional positions:
Th (0.070, 0.320, 0.750)
Th (0.320, 0.070, 0.250)
Th (0.680, 0.930, 0.750)
Th (0.930, 0.680, 0.250)
Si (0.212, 0.462, 0.750)
Si (0.462, 0.212, 0.250)
Si (0.538, 0.788, 0.750)
Si (0.788, 0.538, 0.250)



[6]
Density functional theory data (PBE-GGA) for a relaxed structure of Th3Si.

Output
**Calculated total energy**: -7.297 eV/atom
**Density**: 10.58 g/cm3
**Uncorrected formation energy**: -0.38 eV/atom
**Polymorph energy (0 for the lowest one)**: 0.00 eV/f.u.

Unit cell a=12.268 b=12.268 c=6.044 alpha=90.00 beta=90.00 gamma=90.00
Fractional positions:
Th (0.033, 0.573, 0.244)
Th (0.073, 0.967, 0.744)
Th (0.114, 0.222, 0.022)
Th (0.139, 0.666, 0.725)
Th (0.166, 0.861, 0.225)
Th (0.222, 0.386, 0.478)
Th (0.278, 0.114, 0.478)
Th (0.334, 0.639, 0.225)
Th (0.361, 0.834, 0.725)
Th (0.386, 0.278, 0.022)
Th (0.427, 0.533, 0.744)
Th (0.467, 0.927, 0.244)
Th (0.533, 0.073, 0.756)
Th (0.573, 0.467, 0.256)
Th (0.614, 0.722, 0.978)
Th (0.639, 0.166, 0.275)
Th (0.666, 0.361, 0.775)
Th (0.722, 0.886, 0.522)
Th (0.778, 0.614, 0.522)
Th (0.834, 0.139, 0.775)
Th (0.861, 0.334, 0.275)
Th (0.886, 0.778, 0.978)
Th (0.927, 0.033, 0.256)
Th (0.967, 0.427, 0.756)
Si (0.046, 0.207, 0.531)
Si (0.207, 0.454, 0.969)
Si (0.293, 0.046, 0.969)
Si (0.454, 0.293, 0.531)
Si (0.546, 0.707, 0.469)
Si (0.707, 0.954, 0.031)
Si (0.793, 0.546, 0.031)
Si (0.954, 0.793, 0.469)



[7]
Density functional theory data (PBE-GGA) for a relaxed structure of Th5Si6.

Output
**Calculated total energy**: -7.003 eV/atom
**Density**: 8.63 g/cm3
**Uncorrected formation energy**: -0.67 eV/atom

Unit cell a=14.524 b=14.524 c=4.302 alpha=90.00 beta=90.00 gamma=163.63
Fractional positions:
Th (0.000, 0.000, 0.000)
Th (0.196, 0.804, 0.500)
Th (0.387, 0.613, 0.000)
Th (0.613, 0.387, 0.000)
Th (0.804, 0.196, 0.500)
Si (0.089, 0.911, 0.500)
Si (0.279, 0.721, 0.000)
Si (0.459, 0.541, 0.500)
Si (0.541, 0.459, 0.500)
Si (0.721, 0.279, 0.000)
Si (0.911, 0.089, 0.500)



[8]
Density functional theory data (PBE-GGA) for a relaxed structure of Th3Si2.

Output
**Calculated total energy**: -6.203 eV/atom
**Density**: 8.40 g/cm3
**Uncorrected formation energy**: 0.42 eV/atom
**Polymorph energy (0 for the lowest one)**: 5.38 eV/f.u.

Unit cell a=9.431 b=9.431 c=3.345 alpha=90.00 beta=90.00 gamma=90.00
Fractional positions:
Th (0.000, 0.000, 0.000)
Th (0.206, 0.294, 0.500)
Th (0.294, 0.794, 0.500)
Th (0.500, 0.500, 0.000)
Th (0.706, 0.206, 0.500)
Th (0.794, 0.706, 0.500)
Si (0.085, 0.585, 0.500)
Si (0.415, 0.085, 0.500)
Si (0.585, 0.915, 0.500)
Si (0.915, 0.415, 0.500)



[9]
Density functional theory data (PBE-GGA) for a relaxed structure of Th3Si2.

Output
**Calculated total energy**: -7.279 eV/atom
**Density**: 9.77 g/cm3
**Uncorrected formation energy**: -0.66 eV/atom
**Polymorph energy (0 for the lowest one)**: 0.00 eV/f.u.

Unit cell a=7.846 b=7.846 c=4.153 alpha=90.00 beta=90.00 gamma=90.00
Fractional positions:
Th (0.000, 0.000, 0.000)
Th (0.181, 0.319, 0.500)
Th (0.319, 0.819, 0.500)
Th (0.500, 0.500, 0.000)
Th (0.681, 0.181, 0.500)
Th (0.819, 0.681, 0.500)
Si (0.113, 0.613, 0.000)
Si (0.387, 0.113, 0.000)
Si (0.613, 0.887, 0.000)
Si (0.887, 0.387, 0.000)



[10]
Density functional theory data (PBE-GGA) for a relaxed structure of ThSi.

Output
**Calculated total energy**: -7.113 eV/atom
**Density**: 8.89 g/cm3
**Uncorrected formation energy**: -0.69 eV/atom

Unit cell a=7.961 b=4.135 c=5.905 alpha=90.00 beta=90.00 gamma=90.00
Fractional positions:
Th (0.180, 0.250, 0.124)
Th (0.320, 0.750, 0.624)
Th (0.680, 0.250, 0.376)
Th (0.820, 0.750, 0.876)
Si (0.039, 0.250, 0.628)
Si (0.461, 0.750, 0.128)
Si (0.539, 0.250, 0.872)
Si (0.961, 0.750, 0.372)



[11]
Density functional theory data (PBE-GGA) for a relaxed structure of ThSi4.

Output
**Calculated total energy**: -4.182 eV/atom
**Density**: 3.52 g/cm3
**Uncorrected formation energy**: 1.64 eV/atom

Unit cell a=5.456 b=5.456 c=5.456 alpha=90.00 beta=90.00 gamma=90.00
Fractional positions:
Th (0.000, 0.000, 0.000)
Si (0.000, 0.000, 0.500)
Si (0.000, 0.500, 0.000)
Si (0.500, 0.000, 0.000)
Si (0.500, 0.500, 0.500)



[12]
Density functional theory data (PBE-GGA) for a relaxed structure of ThTi2Si4.

Output
**Calculated total energy**: -6.993 eV/atom
**Density**: 5.90 g/cm3
**Uncorrected formation energy**: -0.58 eV/atom

Unit cell a=9.340 b=9.340 c=9.340 alpha=157.14 beta=156.95 gamma=32.68
Fractional positions:
Th (0.000, 0.000, 0.000)
Ti (0.191, 0.691, 0.500)
Ti (0.809, 0.309, 0.500)
Si (0.334, 0.834, 0.500)
Si (0.417, 0.417, 0.000)
Si (0.583, 0.583, 0.000)
Si (0.666, 0.166, 0.500)



[13]
Density functional theory data (PBE-GGA) for a relaxed structure of ThTiSi.

Output
**Calculated total energy**: -7.466 eV/atom
**Density**: 7.92 g/cm3
**Uncorrected formation energy**: -0.55 eV/atom

Unit cell a=7.376 b=4.102 c=8.542 alpha=90.00 beta=90.00 gamma=90.00
Fractional positions:
Th (0.032, 0.250, 0.171)
Th (0.468, 0.750, 0.671)
Th (0.532, 0.250, 0.329)
Th (0.968, 0.750, 0.829)
Ti (0.128, 0.250, 0.552)
Ti (0.372, 0.750, 0.052)
Ti (0.628, 0.250, 0.948)
Ti (0.872, 0.750, 0.448)
Si (0.226, 0.750, 0.369)
Si (0.274, 0.250, 0.869)
Si (0.726, 0.750, 0.131)
Si (0.774, 0.250, 0.631)